1:
This record from the Alexandria database describes a geometry-optimized Li4Fe3 structure. The functional is PBE.

Structure (POSCAR):
```
Li4Fe3
1.0
-4.398 -13.007 2.352
-2.518 -12.544 5.511
1.931 13.439 -3.119
Li Fe
4 3
Cartesian
-5.831 -21.541 6.629 Li
-2.971 -10.975 3.377 Li
-1.085 -4.010 1.234 Li
-3.945 -14.576 4.485 Li
-1.895 -7.001 2.154 Fe
0.000 0.000 0.000 Fe
-5.021 -18.551 5.708 Fe
```

Computed properties:
ρ (g cm⁻³): 3.42
Magnetization (μB/cell): 0.729
SG: I4/mmm (139)
Fermi-level density of states (states/eV per cell): 5.74

2:
This record from the Alexandria database describes a geometry-optimized Li4Fe3 structure. The functional is PBE.

Structure (POSCAR):
```
Li4Fe3
1.0
2.019 3.136 2.919
-2.799 1.497 -3.515
-3.950 -0.275 3.028
Li Fe
4 3
Cartesian
-1.562 2.452 2.288 Li
-2.973 -0.207 2.279 Li
-3.168 1.906 0.143 Li
-0.977 -0.068 0.749 Li
1.010 1.568 1.459 Fe
-0.390 2.317 -0.298 Fe
-1.399 0.749 -1.758 Fe
```

Computed properties:
ρ (g cm⁻³): 3.35
Magnetization (μB/cell): 5.962
SG: P6/mmm (191)
Fermi-level density of states (states/eV per cell): 4.50

Most stable: 2 (next structure +0.039 eV/atom)

1:
This record from the Alexandria database describes a geometry-optimized LiLu2Fe structure. The functional is PBE.

Structure (POSCAR):
```
LiLu2Fe
1.0
3.265 0.000 0.000
0.000 3.265 0.000
0.000 0.000 8.026
Fe Li Lu
1 1 2
Cartesian
1.632 1.632 0.000 Fe
1.632 1.632 4.013 Li
0.000 0.000 6.459 Lu
0.000 0.000 1.566 Lu
```

Computed properties:
ρ (g cm⁻³): 8.01
Magnetization (μB/cell): 0.000
SG: P4/mmm (123)
Fermi-level density of states (states/eV per cell): 2.57

2:
This record from the Alexandria database describes a geometry-optimized LiLu2Fe structure. The functional is PBE.

Structure (POSCAR):
```
LiLu2Fe
1.0
4.739 0.000 0.000
2.370 4.104 0.000
2.370 1.368 3.869
Lu Li Fe
2 1 1
Cartesian
2.370 1.368 0.967 Lu
7.109 4.104 2.902 Lu
0.000 0.000 0.000 Li
4.739 2.736 1.935 Fe
```

Computed properties:
ρ (g cm⁻³): 9.11
Magnetization (μB/cell): 0.000
SG: Fm-3m (225)
Fermi-level density of states (states/eV per cell): 3.11

Most stable: 1 (next structure +0.049 eV/atom)